#w
# PBE-GGA LiPrZnTe3, optimized geometry
data_LiPrZnTe3
_cell_length_a 14.8699
_cell_length_b 4.3698
_cell_length_c 12.1205
_cell_angle_alpha 90.00
_cell_angle_beta 90.00
_cell_angle_gamma 90.00
_space_group_name_H-M_alt 'P n m a'
_space_group_IT_number 62
loop_
_space_group_symop_operation_xyz
'x,y,z'
'-x,-y,-z'
'-x+1/2,-y,z+1/2'
'x+1/2,y,-z+1/2'
'x+1/2,-y+1/2,-z+1/2'
'-x+1/2,y+1/2,z+1/2'
'-x,y+1/2,-z'
'x,-y+1/2,z'
loop_
_atom_site_label
_atom_site_type_symbol
_atom_site_fract_x
_atom_site_fract_y
_atom_site_fract_z
_atom_site_occupancy
Li1 Li 0.2169 0.2500 0.1904 1
Pr1 Pr 0.0304 0.7500 0.8430 1
Zn1 Zn 0.0218 0.2500 0.6029 1
Te1 Te 0.0871 0.2500 0.3884 1
Te2 Te 0.1125 0.7500 0.0825 1
Te3 Te 0.1607 0.2500 0.7422 1
# * total moment: 0.0 Bohr magnetons per cell
# * V: 32.816 A^3/atom



#x
# PBE-GGA LiPrZnTe3, optimized geometry
data_LiPrZnTe3
_cell_length_a 4.3014
_cell_length_b 14.4636
_cell_length_c 11.8622
_cell_angle_alpha 90.00
_cell_angle_beta 90.00
_cell_angle_gamma 90.00
_space_group_name_H-M_alt 'C m c m'
_space_group_IT_number 63
_space_group_name_Hall '-C 2c 2'
loop_
_atom_site_label
_atom_site_type_symbol
_atom_site_fract_x
_atom_site_fract_y
_atom_site_fract_z
_atom_site_occupancy
Li1 Li 0.0000 0.1966 0.2500 1
Pr1 Pr 0.0000 0.0000 0.0000 1
Zn1 Zn 0.0000 0.4772 0.7500 1
Te1 Te 0.0000 0.0918 0.7500 1
Te2 Te 0.0000 0.3529 0.5809 1
# * total moment: 0.0 Bohr magnetons per cell
# * V: 30.749 A^3/atom



#y
# PBE-GGA LiPrZnTe3, optimized geometry
data_LiPrZnTe3
_cell_length_a 8.8537
_cell_length_b 4.4153
_cell_length_c 18.6496
_cell_angle_alpha 90.00
_cell_angle_beta 90.00
_cell_angle_gamma 90.00
_space_group_name_H-M_alt 'P n m a'
_space_group_IT_number 62
loop_
_space_group_symop_operation_xyz
'x,y,z'
'-x,-y,-z'
'-x+1/2,-y,z+1/2'
'x+1/2,y,-z+1/2'
'x+1/2,-y+1/2,-z+1/2'
'-x+1/2,y+1/2,z+1/2'
'-x,y+1/2,-z'
'x,-y+1/2,z'
loop_
_atom_site_label
_atom_site_type_symbol
_atom_site_fract_x
_atom_site_fract_y
_atom_site_fract_z
_atom_site_occupancy
Li1 Li 0.0606 0.2500 0.2429 1
Pr1 Pr 0.2347 0.2500 0.5518 1
Zn1 Zn 0.1376 0.2500 0.8552 1
Te1 Te 0.0022 0.7500 0.9146 1
Te2 Te 0.1248 0.7500 0.4407 1
Te3 Te 0.2026 0.2500 0.7208 1
# * total moment: 0.0 Bohr magnetons per cell
# * V: 30.377 A^3/atom



It is #y that is the least stable of them.



#w
# PBE-GGA LiPrZnTe3, optimized geometry
data_LiPrZnTe3
_cell_length_a 8.6068
_cell_length_b 4.3712
_cell_length_c 10.6305
_cell_angle_alpha 90.00
_cell_angle_beta 103.41
_cell_angle_gamma 90.00
_space_group_name_H-M_alt 'P 1 21/m 1'
_space_group_IT_number 11
loop_
_space_group_symop_operation_xyz
'x,y,z'
'-x,-y,-z'
'-x,y+1/2,-z'
'x,-y+1/2,z'
loop_
_atom_site_label
_atom_site_type_symbol
_atom_site_fract_x
_atom_site_fract_y
_atom_site_fract_z
_atom_site_occupancy
Li1 Li 0.1863 0.2500 0.1292 1
Pr1 Pr 0.3214 0.7500 0.8469 1
Zn1 Zn 0.0828 0.2500 0.6002 1
Te1 Te 0.0502 0.2500 0.8470 1
Te2 Te 0.2328 0.7500 0.5322 1
Te3 Te 0.4153 0.7500 0.1590 1
# * total moment: 0.0 Bohr magnetons per cell
# * V: 32.420 A^3/atom



#x
# PBE-GGA LiPrZnTe3, optimized geometry
data_LiPrZnTe3
_cell_length_a 11.8602
_cell_length_b 4.3201
_cell_length_c 14.4574
_cell_angle_alpha 90.00
_cell_angle_beta 90.00
_cell_angle_gamma 90.00
_space_group_name_H-M_alt 'P n m a'
_space_group_IT_number 62
loop_
_space_group_symop_operation_xyz
'x,y,z'
'-x,-y,-z'
'-x+1/2,-y,z+1/2'
'x+1/2,y,-z+1/2'
'x+1/2,-y+1/2,-z+1/2'
'-x+1/2,y+1/2,z+1/2'
'-x,y+1/2,-z'
'x,-y+1/2,z'
loop_
_atom_site_label
_atom_site_type_symbol
_atom_site_fract_x
_atom_site_fract_y
_atom_site_fract_z
_atom_site_occupancy
Li1 Li 0.2479 0.2500 0.0615 1
Pr1 Pr 0.0008 0.7500 0.7491 1
Zn1 Zn 0.2491 0.7500 0.2280 1
Te1 Te 0.0790 0.7500 0.1039 1
Te2 Te 0.0819 0.2500 0.6027 1
Te3 Te 0.2496 0.2500 0.3418 1
# * total moment: 0.0 Bohr magnetons per cell
# * V: 30.865 A^3/atom



It is #x that is the least stable of them.



#w
# PBE-GGA LiPrW, optimized geometry
data_LiPrW
_cell_length_a 6.7526
_cell_length_b 6.7526
_cell_length_c 6.7526
_cell_angle_alpha 90.00
_cell_angle_beta 90.00
_cell_angle_gamma 90.00
_space_group_name_H-M_alt 'F -4 3 m'
_space_group_IT_number 216
_space_group_name_Hall 'F -4 2 3'
loop_
_atom_site_label
_atom_site_type_symbol
_atom_site_fract_x
_atom_site_fract_y
_atom_site_fract_z
_atom_site_occupancy
Li1 Li 0.0000 0.0000 0.0000 1
Pr1 Pr 0.2500 0.2500 0.7500 1
W1 W 0.0000 0.0000 0.5000 1
# * total moment: 8.8 Bohr magnetons per cell
# * V: 25.659 A^3/atom



#x
# PBE-GGA LiPrW, optimized geometry
data_LiPrW
_cell_length_a 6.3938
_cell_length_b 6.3938
_cell_length_c 6.3938
_cell_angle_alpha 90.00
_cell_angle_beta 90.00
_cell_angle_gamma 90.00
_space_group_name_H-M_alt 'F -4 3 m'
_space_group_IT_number 216
_space_group_name_Hall 'F -4 2 3'
loop_
_atom_site_label
_atom_site_type_symbol
_atom_site_fract_x
_atom_site_fract_y
_atom_site_fract_z
_atom_site_occupancy
Li1 Li 0.0000 0.0000 0.0000 1
Pr1 Pr 0.2500 0.2500 0.7500 1
W1 W 0.2500 0.2500 0.2500 1
# * total moment: 0.2 Bohr magnetons per cell
# * V: 21.782 A^3/atom



It is #w that is the least stable of them.